1.
# CdIn3HgPb PBE optimized geometry
data_CdIn3HgPb
_chemical_formula_sum 'Cd2 In6 Hg2 Pb2'
_space_group_name_H-M_alt 'P 1'
_space_group_IT_number 1
_cell_length_a 3.524
_cell_length_b 9.774
_cell_length_c 10.168
_cell_angle_alpha 111.91
_cell_angle_beta 90.00
_cell_angle_gamma 90.00
loop_
_space_group_symop_operation_xyz
'x,y,z'
loop_
_atom_site_label
_atom_site_fract_x
_atom_site_fract_y
_atom_site_fract_z
Cd1 0.250 0.632 0.129
Cd2 0.750 0.368 0.871
In1 0.750 0.876 0.057
In2 0.250 0.124 0.943
In3 0.250 0.611 0.439
In4 0.750 0.389 0.561
In5 0.750 0.383 0.183
In6 0.250 0.617 0.817
Hg1 0.250 0.123 0.623
Hg2 0.750 0.877 0.377
Pb1 0.250 0.148 0.292
Pb2 0.750 0.852 0.708
# N(E_F): 2.40 states/eV/f.u.

2.
# Cd2InHg5Pb PBE optimized geometry
data_Cd2InHg5Pb
_chemical_formula_sum 'Cd4 In2 Hg10 Pb2'
_space_group_name_H-M_alt 'P 1'
_space_group_IT_number 1
_cell_length_a 3.594
_cell_length_b 8.658
_cell_length_c 15.538
_cell_angle_alpha 90.00
_cell_angle_beta 90.00
_cell_angle_gamma 101.98
loop_
_space_group_symop_operation_xyz
'x,y,z'
loop_
_atom_site_label
_atom_site_fract_x
_atom_site_fract_y
_atom_site_fract_z
Cd1 0.876 0.752 0.908
Cd2 0.081 0.161 0.728
Cd3 0.124 0.248 0.408
Cd4 0.919 0.839 0.228
In1 0.786 0.573 0.463
In2 0.214 0.427 0.963
Hg1 0.393 0.785 0.070
Hg2 0.727 0.455 0.792
Hg3 0.411 0.823 0.748
Hg4 0.266 0.531 0.628
Hg5 0.942 0.885 0.585
Hg6 0.607 0.215 0.570
Hg7 0.273 0.545 0.292
Hg8 0.589 0.177 0.248
Hg9 0.734 0.469 0.128
Hg10 0.058 0.115 0.085
Pb1 0.545 0.091 0.903
Pb2 0.455 0.909 0.403
# N(E_F): 3.32 states/eV/f.u.

3.
# Cd2In3Hg2Pb4 PBE optimized geometry
data_Cd2In3Hg2Pb4
_chemical_formula_sum 'Cd2 In3 Hg2 Pb4'
_space_group_name_H-M_alt 'P 1'
_space_group_IT_number 1
_cell_length_a 5.319
_cell_length_b 5.319
_cell_length_c 13.003
_cell_angle_alpha 90.00
_cell_angle_beta 90.00
_cell_angle_gamma 120.00
loop_
_space_group_symop_operation_xyz
'x,y,z'
loop_
_atom_site_label
_atom_site_fract_x
_atom_site_fract_y
_atom_site_fract_z
Cd1 0.667 0.333 0.334
Cd2 0.333 0.667 0.666
In1 0.000 0.000 0.734
In2 0.000 0.000 0.000
In3 0.000 0.000 0.266
Hg1 0.667 0.333 0.828
Hg2 0.333 0.667 0.172
Pb1 0.667 0.333 0.086
Pb2 0.333 0.667 0.914
Pb3 0.667 0.333 0.571
Pb4 0.333 0.667 0.429
# N(E_F): 5.99 states/eV/f.u.

4.
# CdIn3Hg2Pb3 PBE optimized geometry
data_CdIn3Hg2Pb3
_chemical_formula_sum 'Cd1 In3 Hg2 Pb3'
_space_group_name_H-M_alt 'P 1'
_space_group_IT_number 1
_cell_length_a 3.596
_cell_length_b 9.036
_cell_length_c 9.036
_cell_angle_alpha 120.00
_cell_angle_beta 90.00
_cell_angle_gamma 90.00
loop_
_space_group_symop_operation_xyz
'x,y,z'
loop_
_atom_site_label
_atom_site_fract_x
_atom_site_fract_y
_atom_site_fract_z
Cd1 0.000 0.000 0.000
In1 0.000 0.629 0.629
In2 0.000 0.000 0.371
In3 0.000 0.371 0.000
Hg1 0.500 0.667 0.333
Hg2 0.500 0.333 0.667
Pb1 0.500 0.708 0.000
Pb2 0.500 0.000 0.708
Pb3 0.500 0.292 0.292
# N(E_F): 4.22 states/eV/f.u.

5.
# Cd6In2Hg2Pb PBE optimized geometry
data_Cd6In2Hg2Pb
_chemical_formula_sum 'Cd6 In2 Hg2 Pb1'
_space_group_name_H-M_alt 'P 1'
_space_group_IT_number 1
_cell_length_a 11.626
_cell_length_b 12.284
_cell_length_c 10.808
_cell_angle_alpha 160.73
_cell_angle_beta 124.64
_cell_angle_gamma 42.36
loop_
_space_group_symop_operation_xyz
'x,y,z'
loop_
_atom_site_label
_atom_site_fract_x
_atom_site_fract_y
_atom_site_fract_z
Cd1 0.895 0.761 0.362
Cd2 0.371 0.612 0.817
Cd3 0.674 0.925 0.973
Cd4 0.629 0.388 0.183
Cd5 0.326 0.075 0.027
Cd6 0.105 0.239 0.638
In1 0.744 0.423 0.743
In2 0.256 0.577 0.257
Hg1 0.028 0.765 0.907
Hg2 0.972 0.235 0.093
Pb1 0.500 0.000 0.500
# N(E_F): 3.17 states/eV/f.u.

6.
# Cd2InHg2Pb2 PBE optimized geometry
data_Cd2InHg2Pb2
_chemical_formula_sum 'Cd2 In1 Hg2 Pb2'
_space_group_name_H-M_alt 'P 1'
_space_group_IT_number 1
_cell_length_a 5.592
_cell_length_b 7.901
_cell_length_c 7.926
_cell_angle_alpha 138.57
_cell_angle_beta 90.00
_cell_angle_gamma 110.72
loop_
_space_group_symop_operation_xyz
'x,y,z'
loop_
_atom_site_label
_atom_site_fract_x
_atom_site_fract_y
_atom_site_fract_z
Cd1 0.560 0.121 0.925
Cd2 0.440 0.879 0.075
In1 0.000 0.000 0.500
Hg1 0.856 0.712 0.640
Hg2 0.144 0.288 0.360
Pb1 0.706 0.412 0.798
Pb2 0.294 0.588 0.202
# N(E_F): 1.84 states/eV/f.u.

7.
# CdIn2HgPb PBE optimized geometry
data_CdIn2HgPb
_chemical_formula_sum 'Cd2 In4 Hg2 Pb2'
_space_group_name_H-M_alt 'P 1'
_space_group_IT_number 1
_cell_length_a 3.280
_cell_length_b 7.982
_cell_length_c 11.322
_cell_angle_alpha 112.26
_cell_angle_beta 90.00
_cell_angle_gamma 90.00
loop_
_space_group_symop_operation_xyz
'x,y,z'
loop_
_atom_site_label
_atom_site_fract_x
_atom_site_fract_y
_atom_site_fract_z
Cd1 0.250 0.177 0.038
Cd2 0.750 0.823 0.962
In1 0.750 0.611 0.659
In2 0.250 0.389 0.341
In3 0.750 0.560 0.136
In4 0.250 0.440 0.864
Hg1 0.250 0.962 0.232
Hg2 0.750 0.038 0.768
Pb1 0.250 0.207 0.554
Pb2 0.750 0.793 0.446
# N(E_F): 1.84 states/eV/f.u.

8.
# Cd2InHg3Pb3 PBE optimized geometry
data_Cd2InHg3Pb3
_chemical_formula_sum 'Cd2 In1 Hg3 Pb3'
_space_group_name_H-M_alt 'P 1'
_space_group_IT_number 1
_cell_length_a 3.768
_cell_length_b 8.760
_cell_length_c 8.760
_cell_angle_alpha 120.00
_cell_angle_beta 90.00
_cell_angle_gamma 90.00
loop_
_space_group_symop_operation_xyz
'x,y,z'
loop_
_atom_site_label
_atom_site_fract_x
_atom_site_fract_y
_atom_site_fract_z
Cd1 0.500 0.667 0.333
Cd2 0.500 0.333 0.667
In1 0.000 0.000 0.000
Hg1 0.000 0.618 0.618
Hg2 0.000 0.000 0.382
Hg3 0.000 0.382 0.000
Pb1 0.500 0.707 0.000
Pb2 0.500 0.000 0.707
Pb3 0.500 0.293 0.293
# N(E_F): 2.53 states/eV/f.u.

no.,energy (eV per atom)
1,-2.16
2,-1.06
3,-2.25
4,-2.28
5,-1.35
6,-1.76
7,-2.04
8,-1.78